i | DFT (PBE-GGA) results for SmYTh4 after structural relaxation.

a b c (Å): 6.646 6.646 6.646
angles (deg): 60.00 60.00 60.00
Positions (direct):
Y  0.000  0.000  0.000
Sm  0.250  0.250  0.250
Th  0.625  0.625  0.125
Th  0.625  0.125  0.625
Th  0.625  0.625  0.625
Th  0.125  0.625  0.625

---

ii | DFT (PBE-GGA) results for SmYTh4 after structural relaxation.

a b c (Å): 3.588 3.588 15.166
angles (deg): 90.00 90.00 90.00
Positions (direct):
Sm  0.000  0.000  0.000
Y  0.500  0.500  0.500
Th  0.500  0.500  0.171
Th  0.000  0.000  0.669
Th  0.000  0.000  0.331
Th  0.500  0.500  0.829

---

Stability summary - winner: ii; margin: 21.2 kJ/mol of atoms.

---

i | DFT (PBE-GGA) results for SmY4Th2 after structural relaxation.

a b c (Å): 5.592 5.592 9.253
angles (deg): 107.59 107.59 90.00
Positions (direct):
Sm  0.000  0.000  0.000
Y  0.819  0.819  0.638
Y  0.181  0.181  0.362
Y  0.000  0.500  0.000
Y  0.500  0.000  0.000
Th  0.614  0.614  0.227
Th  0.386  0.386  0.773

---

ii | DFT (PBE-GGA) results for SmY4Th2 after structural relaxation.

a b c (Å): 3.528 9.535 8.799
angles (deg): 122.00 78.52 111.62
Positions (direct):
Sm  0.000  0.000  0.000
Y  0.410  0.706  0.588
Y  0.801  0.154  0.708
Y  0.590  0.294  0.412
Y  0.199  0.846  0.292
Th  0.368  0.435  0.137
Th  0.632  0.565  0.863

---

Stability summary - winner: ii; margin: 68.8 kJ/mol of atoms.

---

i | DFT (PBE-GGA) results for Sm4Y5Th after structural relaxation.

a b c (Å): 6.359 7.964 7.964
angles (deg): 80.83 66.47 66.47
Positions (direct):
Sm  0.403  0.390  0.699
Sm  0.793  0.699  0.610
Sm  0.102  0.301  0.390
Sm  0.492  0.610  0.301
Y  0.801  0.378  0.923
Y  0.180  0.923  0.622
Y  0.724  0.077  0.378
Y  0.102  0.622  0.077
Y  0.689  0.000  0.000
Th  0.224  0.000  0.000

---

ii | DFT (PBE-GGA) results for Sm4Y5Th after structural relaxation.

a b c (Å): 5.457 10.907 6.364
angles (deg): 97.10 115.39 90.00
Positions (direct):
Sm  0.640  0.266  0.281
Sm  0.069  0.772  0.137
Sm  0.360  0.734  0.719
Sm  0.931  0.228  0.863
Y  0.222  0.099  0.444
Y  0.178  0.444  0.356
Y  0.822  0.556  0.644
Y  0.500  0.500  0.000
Y  0.778  0.901  0.556
Th  0.500  0.000  0.000

---

Stability summary - winner: ii; margin: 12.4 kJ/mol of atoms.

---

i | DFT (PBE-GGA) results for SmY6Th2 after structural relaxation.

a b c (Å): 9.606 9.606 6.750
angles (deg): 81.19 81.19 99.52
Positions (direct):
Sm  0.902  0.098  0.250
Sm  0.098  0.902  0.750
Y  0.261  0.643  0.524
Y  0.357  0.739  0.976
Y  0.739  0.357  0.476
Y  0.643  0.261  0.024
Y  0.445  0.081  0.692
Y  0.919  0.555  0.808
Y  0.555  0.919  0.308
Y  0.081  0.445  0.192
Y  0.955  0.748  0.311
Y  0.252  0.045  0.189
Y  0.045  0.252  0.689
Y  0.748  0.955  0.811
Th  0.647  0.617  0.134
Th  0.383  0.353  0.366
Th  0.353  0.383  0.866
Th  0.617  0.647  0.634

---

ii | DFT (PBE-GGA) results for SmY6Th2 after structural relaxation.

a b c (Å): 3.595 3.595 26.451
angles (deg): 90.00 90.00 120.00
Positions (direct):
Sm  0.333  0.667  0.000
Y  0.667  0.333  0.889
Y  0.333  0.667  0.437
Y  0.333  0.667  0.781
Y  0.333  0.667  0.219
Y  0.333  0.667  0.563
Y  0.667  0.333  0.111
Th  0.667  0.333  0.330
Th  0.667  0.333  0.670

---

Stability summary - winner: ii; margin: 6.0 kJ/mol of atoms.